## KTa2Ni (PBE-GGA)

Data for KTa2Ni after structural relaxation.

a b c (Å): 4.611 4.611 4.611
angles (deg): 60.00 60.00 60.00
Element x y z (fractional)
1 Ni 0.500 0.500 0.500
2 Ta 0.250 0.250 0.250
3 K 0.000 0.000 0.000
4 Ta 0.750 0.750 0.750

## Properties
The value obtained for the total moment is 0.00 μB/f.u. The calculated formation energy comes out at 1.46 eV/atom. The total energy comes out at -6.1875 eV/atom. The value obtained for the energy above the lowest structure with this stoichiometry is 962 meV/atom. Its space-group type is Fm-3m (225).

---

## LaTb3P4 (PBE-GGA)

Data for LaTb3P4 after structural relaxation.

a b c (Å): 4.093 7.086 7.086
angles (deg): 70.59 90.00 90.00
Element x y z (fractional)
1 Tb 0.000 0.000 0.000
2 La 0.500 0.500 0.000
3 Tb 0.500 0.000 0.500
4 P 0.500 0.754 0.254
5 P 0.000 0.759 0.741
6 P 0.500 0.246 0.746
7 P 0.000 0.242 0.258
8 Tb 0.000 0.500 0.500

## Properties
The value obtained for the total moment is 0.00 μB/f.u. The calculated formation energy comes out at -1.59 eV/atom. The total energy comes out at -6.6446 eV/atom. Its space-group type is Cmmm (65).

---

## Pm6Y5Sc (PBE-GGA)

Data for Pm6Y5Sc after structural relaxation.

a b c (Å): 5.092 10.049 9.489
angles (deg): 121.97 105.56 90.00
Element x y z (fractional)
1 Y 0.334 0.334 0.669
2 Pm 0.835 0.588 0.670
3 Pm 0.500 0.245 0.000
4 Sc 0.000 0.000 0.000
5 Pm 0.500 0.755 0.000
6 Pm 0.165 0.918 0.330
7 Pm 0.165 0.412 0.330
8 Y 0.335 0.835 0.669
9 Y 0.000 0.500 0.000
10 Y 0.666 0.666 0.331
11 Pm 0.835 0.082 0.670
12 Y 0.665 0.165 0.331

## Properties
The value obtained for the total moment is 0.00 μB/f.u. The calculated formation energy comes out at 0.03 eV/atom. The total energy comes out at -5.5701 eV/atom. Its space-group type is Immm (71).

---

## Er3TiPt12 (PBE-GGA)

Data for Er3TiPt12 after structural relaxation.

a b c (Å): 4.061 4.061 16.265
angles (deg): 90.00 90.00 90.00
Element x y z (fractional)
1 Pt 0.500 0.500 0.500
2 Er 0.000 0.000 0.753
3 Er 0.000 0.000 0.247
4 Pt 0.000 0.500 0.627
5 Pt 0.000 0.500 0.373
6 Pt 0.000 0.500 0.885
7 Er 0.000 0.000 0.500
8 Pt 0.500 0.500 0.756
9 Ti 0.000 0.000 0.000
10 Pt 0.000 0.500 0.115
11 Pt 0.500 0.000 0.627
12 Pt 0.500 0.000 0.885
13 Pt 0.500 0.500 0.000
14 Pt 0.500 0.000 0.373
15 Pt 0.500 0.000 0.115
16 Pt 0.500 0.500 0.244

## Properties
The value obtained for the total moment is 0.00 μB/f.u. The calculated formation energy comes out at -1.03 eV/atom. The total energy comes out at -6.9055 eV/atom. Its space-group type is P4/mmm (123).

---

## SrLiZrRu2 (PBE-GGA)

Data for SrLiZrRu2 after structural relaxation.

a b c (Å): 4.858 5.193 4.858
angles (deg): 90.00 90.00 90.00
Element x y z (fractional)
1 Sr 0.500 0.500 0.500
2 Ru 0.000 0.000 0.500
3 Ru 0.500 0.000 0.000
4 Li 0.000 0.500 0.000
5 Zr 0.000 0.000 0.000

## Properties
The value obtained for the total moment is 0.00 μB/f.u. The calculated formation energy comes out at 0.66 eV/atom. The total energy comes out at -5.4789 eV/atom. Its space-group type is P4/mmm (123).

---

## MgTl4Rh (PBE-GGA)

Data for MgTl4Rh after structural relaxation.

a b c (Å): 6.128 6.128 6.128
angles (deg): 60.00 60.00 60.00
Element x y z (fractional)
1 Tl 0.374 0.374 0.877
2 Tl 0.877 0.374 0.374
3 Rh 0.000 0.000 0.000
4 Tl 0.374 0.374 0.374
5 Tl 0.374 0.877 0.374
6 Mg 0.750 0.750 0.750

## Properties
The value obtained for the total moment is 0.00 μB/f.u. The calculated formation energy comes out at 0.55 eV/atom. The total energy comes out at -2.5139 eV/atom. Its space-group type is F-43m (216).

---

## Ba2Ca3Pb4 (PBE-GGA)

Data for Ba2Ca3Pb4 after structural relaxation.

a b c (Å): 7.455 9.610 10.003
angles (deg): 90.00 111.88 90.00
Element x y z (fractional)
1 Ba 0.393 0.084 0.786
2 Pb 0.686 0.527 0.372
3 Pb 0.203 0.750 0.906
4 Ba 0.107 0.584 0.214
5 Pb 0.703 0.750 0.906
6 Pb 0.797 0.250 0.094
7 Pb 0.814 0.027 0.628
8 Ba 0.607 0.916 0.214
9 Ca 0.469 0.250 0.438
10 Ca 0.000 0.000 0.000
11 Ca 0.531 0.750 0.562
12 Pb 0.314 0.473 0.628
13 Ba 0.893 0.416 0.786
14 Pb 0.186 0.973 0.372
15 Ca 0.031 0.750 0.562
16 Ca 0.500 0.500 0.000
17 Pb 0.297 0.250 0.094
18 Ca 0.969 0.250 0.438

## Properties
The value obtained for the total moment is 0.00 μB/f.u. The calculated formation energy comes out at -0.44 eV/atom. The total energy comes out at -3.1787 eV/atom. The value obtained for the energy above the lowest structure with this stoichiometry is 118 meV/atom. Its space-group type is Cmce (64).

---

## Ca6ZnGa (PBE-GGA)

Data for Ca6ZnGa after structural relaxation.

a b c (Å): 5.314 5.313 10.113
angles (deg): 74.77 74.77 90.00
Element x y z (fractional)
1 Ga 0.500 0.500 0.000
2 Zn 0.000 0.000 0.000
3 Ca 0.406 0.906 0.188
4 Ca 0.906 0.406 0.188
5 Ca 0.251 0.251 0.498
6 Ca 0.749 0.749 0.502
7 Ca 0.094 0.594 0.812
8 Ca 0.594 0.094 0.812

## Properties
The value obtained for the total moment is 0.00 μB/f.u. The calculated formation energy comes out at -0.19 eV/atom. The total energy comes out at -2.2258 eV/atom. Its space-group type is I4/mmm (139).